# Li6SmHg6

A relaxed structure of Li6SmHg6 (PBE, Alexandria via LeMat-Bulk).

a b c (Å): 5.422 9.551 9.923
angles (deg): 90.00 90.00 90.00
Space group Immm (No. 71)
Symmetry-distinct sites (fractional):
Li: 0.000 0.244 0.000 (multiplicity 4)
Li: 0.250 0.250 0.250 (multiplicity 8)
Sm: 0.000 0.500 0.500 (multiplicity 2)
Hg: 0.000 0.000 0.174 (multiplicity 4)
Hg: 0.000 0.165 0.500 (multiplicity 4)
Hg: 0.000 0.500 0.161 (multiplicity 4)

Values from the calculation:
E_form in eV/atom: -0.319
Crystal system: orthorhombic
Total magnetization in μB per atom: 0.000
Calculated total energy in eV/atom: -1.704